{
  "formula": "SrCdCo2",
  "functional": "PBE-GGA",
  "state": "optimized geometry",
  "energy_ev_per_cell": -15.23,
  "formation_energy_kj_per_mol_atoms": 38.0,
  "cell": [[-1.664, 2.497, 4.885], [1.664, -2.497, 4.885], [1.664, 2.497, -4.885]],
  "species": ["Sr", "Cd", "Co", "Co"],
  "fractional_positions": [[0.000, 0.000, 0.000], [0.293, 0.793, 0.500], [0.547, 0.547, 0.000], [0.703, 0.203, 0.500]]
}